[1]
First-principles (GGA-PBE) data for a relaxed structure of Sm2PClO4, as listed in OQMD via LeMat-Bulk.

Lattice parameters (Å, degrees): 13.5817 4.9837 4.9837 127.57 90.00 90.00
Element x y z (fractional)
Sm (0.1062, 0.2198, 0.7802)
Sm (0.3938, 0.2198, 0.7802)
Sm (0.6062, 0.7802, 0.2198)
Sm (0.8938, 0.7802, 0.2198)
P (0.2500, 0.9774, 0.1967)
P (0.7500, 0.1967, 0.9774)
Cl (0.0000, 0.3946, 0.3946)
Cl (0.5000, 0.3946, 0.3946)
O (0.1538, 0.7954, 0.1742)
O (0.2500, 0.0528, 0.9394)
O (0.2500, 0.3135, 0.5644)
O (0.3462, 0.7954, 0.1742)
O (0.6538, 0.1742, 0.7954)
O (0.7500, 0.5644, 0.3135)
O (0.7500, 0.9394, 0.0528)
O (0.8462, 0.1742, 0.7954)

Summary:
Crystal system: orthorhombic
E in Ry/atom: -0.5097

***

[2]
First-principles (GGA-PBE) data for a relaxed structure of SrHfMg, as listed in OQMD via LeMat-Bulk.

Lattice parameters (Å, degrees): 7.4763 7.4763 7.4763 90.00 90.00 90.00
Element x y z (fractional)
Sr (0.0000, 0.0000, 0.0000)
Sr (0.0000, 0.5000, 0.5000)
Sr (0.5000, 0.0000, 0.5000)
Sr (0.5000, 0.5000, 0.0000)
Hf (0.2500, 0.2500, 0.7500)
Hf (0.2500, 0.7500, 0.2500)
Hf (0.7500, 0.2500, 0.2500)
Hf (0.7500, 0.7500, 0.7500)
Mg (0.2500, 0.2500, 0.2500)
Mg (0.2500, 0.7500, 0.7500)
Mg (0.7500, 0.2500, 0.7500)
Mg (0.7500, 0.7500, 0.2500)

Summary:
Crystal system: cubic
E in Ry/atom: -0.2220
Excess energy over the best structure of this formula in the dataset in meV per atom: 240.8

***

[3]
First-principles (GGA-PBE) data for a relaxed structure of HfScNi2Sn2, as listed in OQMD via LeMat-Bulk.

Lattice parameters (Å, degrees): 4.3294 4.3294 6.7679 90.00 90.00 120.00
Element x y z (fractional)
Hf (0.0000, 0.0000, 0.0000)
Sc (0.0000, 0.0000, 0.4997)
Ni (0.3333, 0.6667, 0.8462)
Ni (0.6667, 0.3333, 0.3292)
Sn (0.3333, 0.6667, 0.2397)
Sn (0.6667, 0.3333, 0.7337)

Summary:
Crystal system: trigonal
E in Ry/atom: -0.4763